[1]
Computed, not measured: an optimized crystal structure of AgSbIr2 at the PBE-GGA level of DFT.

```
data_AgSbIr2
_cell_length_a 2.652
_cell_length_b 2.652
_cell_length_c 23.097
_cell_angle_alpha 90.00
_cell_angle_beta 90.00
_cell_angle_gamma 90.00
_symmetry_space_group_name_H-M 'P 1'
_symmetry_Int_Tables_number 1
loop_
_symmetry_equiv_pos_as_xyz
'x,y,z'
loop_
_atom_site_label
_atom_site_type_symbol
_atom_site_fract_x
_atom_site_fract_y
_atom_site_fract_z
Ag1 Ag 0.000 0.000 0.000
Ir1 Ir 0.000 0.000 0.885
Ir2 Ir 0.000 0.000 0.115
Sb1 Sb 0.500 0.500 0.500
```



[2]
Computed, not measured: an optimized crystal structure of AgSbIr2 at the PBE-GGA level of DFT.

```
data_AgSbIr2
_cell_length_a 4.592
_cell_length_b 4.592
_cell_length_c 4.592
_cell_angle_alpha 60.00
_cell_angle_beta 60.00
_cell_angle_gamma 60.00
_symmetry_space_group_name_H-M 'P 1'
_symmetry_Int_Tables_number 1
loop_
_symmetry_equiv_pos_as_xyz
'x,y,z'
loop_
_atom_site_label
_atom_site_type_symbol
_atom_site_fract_x
_atom_site_fract_y
_atom_site_fract_z
Ir1 Ir 0.750 0.750 0.750
Ir2 Ir 0.000 0.000 0.000
Ag1 Ag 0.250 0.250 0.250
Sb1 Sb 0.500 0.500 0.500
```



[3]
Computed, not measured: an optimized crystal structure of Ag2SbIr at the PBE-GGA level of DFT.

```
data_Ag2SbIr
_cell_length_a 4.660
_cell_length_b 4.660
_cell_length_c 4.660
_cell_angle_alpha 60.00
_cell_angle_beta 60.00
_cell_angle_gamma 60.00
_symmetry_space_group_name_H-M 'P 1'
_symmetry_Int_Tables_number 1
loop_
_symmetry_equiv_pos_as_xyz
'x,y,z'
loop_
_atom_site_label
_atom_site_type_symbol
_atom_site_fract_x
_atom_site_fract_y
_atom_site_fract_z
Ag1 Ag 0.750 0.750 0.750
Ag2 Ag 0.000 0.000 0.000
Ir1 Ir 0.250 0.250 0.250
Sb1 Sb 0.500 0.500 0.500
```



[4]
Computed, not measured: an optimized crystal structure of AgSb2Ir at the PBE-GGA level of DFT.

```
data_AgSb2Ir
_cell_length_a 4.865
_cell_length_b 4.865
_cell_length_c 4.865
_cell_angle_alpha 60.00
_cell_angle_beta 60.00
_cell_angle_gamma 60.00
_symmetry_space_group_name_H-M 'P 1'
_symmetry_Int_Tables_number 1
loop_
_symmetry_equiv_pos_as_xyz
'x,y,z'
loop_
_atom_site_label
_atom_site_type_symbol
_atom_site_fract_x
_atom_site_fract_y
_atom_site_fract_z
Sb1 Sb 0.500 0.500 0.500
Sb2 Sb 0.250 0.250 0.250
Ag1 Ag 0.750 0.750 0.750
Ir1 Ir 0.000 0.000 0.000
```



[5]
# PBE-GGA ScAgIr2, relaxed
data_ScAgIr2
_cell_length_a 4.542
_cell_length_b 4.542
_cell_length_c 4.542
_cell_angle_alpha 60.00
_cell_angle_beta 60.00
_cell_angle_gamma 60.00
_symmetry_space_group_name_H-M 'P 1'
_symmetry_Int_Tables_number 1
loop_
_symmetry_equiv_pos_as_xyz
'x,y,z'
loop_
_atom_site_label
_atom_site_type_symbol
_atom_site_fract_x
_atom_site_fract_y
_atom_site_fract_z
Ir1 Ir 0.250 0.250 0.250
Ir2 Ir 0.500 0.500 0.500
Ag1 Ag 0.750 0.750 0.750
Sc1 Sc 0.000 0.000 0.000
# ΔH_f (0 K) ... -91 meV per atom



[6]
# PBE-GGA ScAg2Ir, relaxed
data_ScAg2Ir
_cell_length_a 4.608
_cell_length_b 4.608
_cell_length_c 4.608
_cell_angle_alpha 60.00
_cell_angle_beta 60.00
_cell_angle_gamma 60.00
_symmetry_space_group_name_H-M 'P 1'
_symmetry_Int_Tables_number 1
loop_
_symmetry_equiv_pos_as_xyz
'x,y,z'
loop_
_atom_site_label
_atom_site_type_symbol
_atom_site_fract_x
_atom_site_fract_y
_atom_site_fract_z
Ag1 Ag 0.750 0.750 0.750
Ag2 Ag 0.000 0.000 0.000
Ir1 Ir 0.250 0.250 0.250
Sc1 Sc 0.500 0.500 0.500
# ΔH_f (0 K) ... -221 meV per atom



[7]
Computed, not measured: an optimized crystal structure of AgIrSe2 at the PBE-GGA level of DFT.

```
data_AgIrSe2
_cell_length_a 3.921
_cell_length_b 3.921
_cell_length_c 6.017
_cell_angle_alpha 90.00
_cell_angle_beta 90.00
_cell_angle_gamma 120.00
_symmetry_space_group_name_H-M 'P 1'
_symmetry_Int_Tables_number 1
loop_
_symmetry_equiv_pos_as_xyz
'x,y,z'
loop_
_atom_site_label
_atom_site_type_symbol
_atom_site_fract_x
_atom_site_fract_y
_atom_site_fract_z
Ag1 Ag 0.000 0.000 0.500
Se1 Se 0.333 0.667 0.195
Se2 Se 0.667 0.333 0.805
Ir1 Ir 0.000 0.000 0.000
```



[8]
Computed, not measured: an optimized crystal structure of AgIr3Se5 at the PBE-GGA level of DFT.

```
data_AgIr3Se5
_cell_length_a 5.797
_cell_length_b 5.797
_cell_length_c 6.904
_cell_angle_alpha 90.00
_cell_angle_beta 90.00
_cell_angle_gamma 120.00
_symmetry_space_group_name_H-M 'P 1'
_symmetry_Int_Tables_number 1
loop_
_symmetry_equiv_pos_as_xyz
'x,y,z'
loop_
_atom_site_label
_atom_site_type_symbol
_atom_site_fract_x
_atom_site_fract_y
_atom_site_fract_z
Ir1 Ir 0.500 0.000 0.500
Ir2 Ir 0.000 0.500 0.500
Ir3 Ir 0.500 0.500 0.500
Se1 Se 0.000 0.000 0.500
Se2 Se 0.667 0.333 0.233
Se3 Se 0.333 0.667 0.767
Se4 Se 0.667 0.333 0.767
Se5 Se 0.333 0.667 0.233
Ag1 Ag 0.000 0.000 0.000
```



[9]
Computed, not measured: an optimized crystal structure of SrAgIrSe3 at the PBE-GGA level of DFT.

```
data_SrAgIrSe3
_cell_length_a 6.810
_cell_length_b 6.810
_cell_length_c 10.005
_cell_angle_alpha 90.00
_cell_angle_beta 90.00
_cell_angle_gamma 145.06
_symmetry_space_group_name_H-M 'P 1'
_symmetry_Int_Tables_number 1
loop_
_symmetry_equiv_pos_as_xyz
'x,y,z'
loop_
_atom_site_label
_atom_site_type_symbol
_atom_site_fract_x
_atom_site_fract_y
_atom_site_fract_z
Ag1 Ag 0.540 0.460 0.250
Ag2 Ag 0.460 0.540 0.750
Ir1 Ir 0.000 0.000 0.000
Ir2 Ir 0.000 0.000 0.500
Se1 Se 0.373 0.627 0.520
Se2 Se 0.373 0.627 0.980
Se3 Se 0.083 0.917 0.750
Se4 Se 0.917 0.083 0.250
Se5 Se 0.627 0.373 0.020
Se6 Se 0.627 0.373 0.480
Sr1 Sr 0.766 0.234 0.750
Sr2 Sr 0.234 0.766 0.250
```



[10]
Computed, not measured: an optimized crystal structure of TlAgTeIrSe2 at the PBE-GGA level of DFT.

```
data_TlAgTeIrSe2
_cell_length_a 7.882
_cell_length_b 7.882
_cell_length_c 10.604
_cell_angle_alpha 90.00
_cell_angle_beta 90.00
_cell_angle_gamma 152.58
_symmetry_space_group_name_H-M 'P 1'
_symmetry_Int_Tables_number 1
loop_
_symmetry_equiv_pos_as_xyz
'x,y,z'
loop_
_atom_site_label
_atom_site_type_symbol
_atom_site_fract_x
_atom_site_fract_y
_atom_site_fract_z
Ir1 Ir 0.500 0.500 0.000
Ir2 Ir 0.500 0.500 0.500
Te1 Te 0.461 0.539 0.750
Te2 Te 0.539 0.461 0.250
Se1 Se 0.110 0.890 0.989
Se2 Se 0.110 0.890 0.511
Se3 Se 0.890 0.110 0.011
Se4 Se 0.890 0.110 0.489
Tl1 Tl 0.783 0.217 0.750
Tl2 Tl 0.217 0.783 0.250
Ag1 Ag 0.870 0.130 0.250
Ag2 Ag 0.130 0.870 0.750
```



[11]
Computed, not measured: an optimized crystal structure of TlAg3IrSe4 at the PBE-GGA level of DFT.

```
data_TlAg3IrSe4
_cell_length_a 6.334
_cell_length_b 6.334
_cell_length_c 6.334
_cell_angle_alpha 90.00
_cell_angle_beta 90.00
_cell_angle_gamma 90.00
_symmetry_space_group_name_H-M 'P 1'
_symmetry_Int_Tables_number 1
loop_
_symmetry_equiv_pos_as_xyz
'x,y,z'
loop_
_atom_site_label
_atom_site_type_symbol
_atom_site_fract_x
_atom_site_fract_y
_atom_site_fract_z
Se1 Se 0.276 0.276 0.276
Se2 Se 0.276 0.724 0.724
Se3 Se 0.724 0.724 0.276
Se4 Se 0.724 0.276 0.724
Ag1 Ag 0.500 0.000 0.500
Ag2 Ag 0.500 0.500 0.000
Ag3 Ag 0.000 0.500 0.500
Tl1 Tl 0.000 0.000 0.000
Ir1 Ir 0.500 0.500 0.500
```



[12]
Computed, not measured: an optimized crystal structure of TlAgIrSe3 at the PBE-GGA level of DFT.

```
data_TlAgIrSe3
_cell_length_a 7.379
_cell_length_b 7.379
_cell_length_c 10.318
_cell_angle_alpha 90.00
_cell_angle_beta 90.00
_cell_angle_gamma 29.98
_symmetry_space_group_name_H-M 'P 1'
_symmetry_Int_Tables_number 1
loop_
_symmetry_equiv_pos_as_xyz
'x,y,z'
loop_
_atom_site_label
_atom_site_type_symbol
_atom_site_fract_x
_atom_site_fract_y
_atom_site_fract_z
Se1 Se 0.615 0.615 0.007
Se2 Se 0.958 0.958 0.250
Se3 Se 0.042 0.042 0.750
Se4 Se 0.385 0.385 0.993
Se5 Se 0.615 0.615 0.493
Se6 Se 0.385 0.385 0.507
Ir1 Ir 0.000 0.000 0.000
Ir2 Ir 0.000 0.000 0.500
Ag1 Ag 0.620 0.620 0.250
Ag2 Ag 0.380 0.380 0.750
Tl1 Tl 0.719 0.719 0.750
Tl2 Tl 0.281 0.281 0.250
```



Number 1: calculated total energy -4.844 eV per atom. Number 2: calculated total energy -5.721 eV per atom. Number 3: calculated total energy -4.439 eV per atom. Number 4: calculated total energy -4.476 eV per atom. Number 5: calculated total energy -6.807 eV per atom. Number 6: calculated total energy -5.429 eV per atom. Number 7: calculated total energy -4.790 eV per atom. Number 8: calculated total energy -5.013 eV per atom. Number 9: calculated total energy -4.531 eV per atom. Number 10: calculated total energy -4.164 eV per atom. Number 11: calculated total energy -3.709 eV per atom. Number 12: calculated total energy -4.198 eV per atom.